# 1
The following is a DFT calculation (PBE) of crystalline CaCuO2F at its relaxed geometry.

Unit cell a=4.4491 b=4.4491 c=4.2666 alpha=90.00 beta=90.00 gamma=90.00
With the nearest neighbours (Å) after each atom.
Space group P4/mmm (No. 123)
Symmetry-distinct sites (fractional):
Ca 0.0000 0.0000 0.0000 [1 per cell]  2 F 2.13, 4 O 2.22
Cu 0.5000 0.5000 0.5000 [1 per cell]  8 O 3.08, 4 F 3.15
O 0.0000 0.5000 0.0000 [2 per cell]  2 Ca 2.22
F 0.0000 0.0000 0.5000 [1 per cell]  2 Ca 2.13

***

# 2
The following is a DFT calculation (PBE) of crystalline IrRh2Cl at its relaxed geometry.

Computed properties:
- Excess energy over the best structure of this formula in the dataset: 269.5 meV per atom

Unit cell a=2.7569 b=4.0897 c=11.5171 alpha=90.00 beta=90.00 gamma=90.00
With the nearest neighbours (Å) after each atom.
Space group Imm2 (No. 44)
Symmetry-distinct sites (fractional):
Ir 0.0000 0.0000 0.0000 [2 per cell]  6 Rh 2.63-2.72, 2 Ir 2.76
Rh 0.0000 0.0000 0.4201 [2 per cell]  4 Ir 2.63, 4 Rh 2.76-2.85
Rh 0.0000 0.5000 0.7038 [2 per cell]  4 Cl 2.47, 2 Ir 2.72, 2 Rh 2.76
Cl 0.0000 0.5000 0.2110 [2 per cell]  4 Rh 2.47, 2 Cl 2.76

***

# 3
The following is a DFT calculation (PBE) of crystalline CsBaLi2Au at its relaxed geometry.

Computed properties:
- DFT formation energy: -0.092 eV/atom

Unit cell a=5.5962 b=5.5962 c=6.1405 alpha=90.00 beta=90.00 gamma=90.00
With the nearest neighbours (Å) after each atom.
Space group P4/mmm (No. 123)
Symmetry-distinct sites (fractional):
Cs 0.0000 0.0000 0.0000 [1 per cell]  4 Ba 3.96, 8 Li 4.15
Ba 0.5000 0.5000 0.0000 [1 per cell]  2 Au 3.07
Li 0.0000 0.5000 0.5000 [2 per cell]  2 Au 2.80
Au 0.5000 0.5000 0.5000 [1 per cell]  4 Li 2.80, 2 Ba 3.07

***

# 4
The following is a DFT calculation (PBE) of crystalline Sr2ZnAu2 at its relaxed geometry.

Computed properties:
- DFT formation energy: -0.419 eV/atom

Unit cell a=8.7202 b=8.7202 c=3.9563 alpha=90.00 beta=90.00 gamma=90.00
With the nearest neighbours (Å) after each atom.
Space group P4/mbm (No. 127)
Symmetry-distinct sites (fractional):
Sr 0.1696 0.3304 0.0000 [4 per cell]  2 Zn 3.24, 6 Au 3.24-3.25
Zn 0.0000 0.0000 0.0000 [2 per cell]  4 Sr 3.24
Au 0.1219 0.6219 0.5000 [4 per cell]  1 Au 3.01, 6 Sr 3.24-3.25

***

# 5
The following is a DFT calculation (PBE) of crystalline PaCl2F5 at its relaxed geometry.

Unit cell a=5.3774 b=6.1735 c=6.7240 alpha=77.13 beta=73.78 gamma=75.16
With the nearest neighbours (Å) after each atom.
Space group P1 (No. 1)
Symmetry-distinct sites (fractional):
Pa 0.0000 0.0000 0.0000 [1 per cell]  3 F 2.04-2.05
Cl 0.1328 0.2278 0.4304 [1 per cell]  2 F 1.88-1.93
Cl 0.9887 0.7105 0.7915 [1 per cell]  1 Pa 2.53
F 0.0338 0.2735 0.1742 [1 per cell]  1 Cl 1.88
F 0.2316 0.1754 0.6941 [1 per cell]  1 Cl 1.93
F 0.3483 0.8198 0.0704 [1 per cell]  1 Pa 2.04
F 0.6599 0.2089 0.9346 [1 per cell]  1 Pa 2.05
F 0.7953 0.8544 0.2809 [1 per cell]  1 Pa 2.04

***

# 6
The following is a DFT calculation (PBE) of crystalline Sc2NbAl at its relaxed geometry.

Computed properties:
- DFT formation energy: 0.224 eV/atom

Unit cell a=3.0407 b=3.0407 c=31.1206 alpha=90.00 beta=90.00 gamma=120.00
With the nearest neighbours (Å) after each atom.
Space group R-3m (No. 166, hexagonal axes)
Symmetry-distinct sites (fractional):
Sc 0.0000 0.0000 0.0910 [6 per cell]  1 Nb 2.83, 3 Al 2.94, 6 Sc 3.04
Nb 0.0000 0.0000 0.0000 [3 per cell]  2 Sc 2.83, 6 Nb 3.04
Al 0.0000 0.0000 0.5000 [3 per cell]  6 Sc 2.94, 6 Al 3.04

***

Number 1: spin magnetization 2.00 μB per cell, raw total energy -4.3745 eV/atom. Number 2: spin magnetization 0.00 μB per cell, raw total energy -5.8088 eV/atom. Number 3: spin magnetization 0.00 μB per cell, raw total energy -2.0685 eV/atom. Number 4: spin magnetization 0.00 μB per cell, raw total energy -2.6571 eV/atom. Number 5: spin magnetization 0.12 μB per cell, raw total energy -5.3861 eV/atom. Number 6: spin magnetization 2.41 μB per cell, raw total energy -6.3952 eV/atom.